1.
VASP calculation (PBE-GGA) on crystalline Li2ZnCrN at its relaxed geometry.

Properties
The calculation puts the density of states at the Fermi level at 3.04 states/eV per cell. The value obtained for the magnetization is 2.67 μB per formula unit. The formation energy from raw total energies is -226 meV per atom.

Cell: 4.091 4.091 3.746 Å, 90.00 90.00 90.00°
Space group P4/mmm (No. 123)
Unique sites:
Li1 0.000 0.500 0.000 x2
Zn1 0.000 0.000 0.500 x1
Cr1 0.500 0.500 0.500 x1
N1 0.500 0.500 0.000 x1



2.
VASP calculation (PBE-GGA) on crystalline NaLi2Cr2 at its relaxed geometry.

Properties
The relative energy among the computed polymorphs comes out at 0.000 eV/atom. The calculation puts the density of states at the Fermi level at 10.24 states/eV per cell. The value obtained for the magnetization is 0.00 μB per formula unit. Its formation energy is 560.1 meV/atom.

Cell: 3.149 3.149 20.691 Å, 90.00 90.00 90.00°
Space group I4/mmm (No. 139)
Unique sites:
Na1 0.000 0.000 0.000 x2
Li1 0.000 0.000 0.365 x4
Cr1 0.000 0.500 0.250 x4



3.
VASP calculation (PBE-GGA) on crystalline NaLi2Cr2 at its relaxed geometry.

Properties
The relative energy among the computed polymorphs comes out at 0.077 eV/atom. The calculation puts the density of states at the Fermi level at 6.61 states/eV per cell. The value obtained for the magnetization is 0.00 μB per formula unit. Its formation energy is 636.9 meV/atom.

Cell: 8.085 8.085 2.610 Å, 90.00 90.00 90.00°
Space group P4/mbm (No. 127)
Unique sites:
Na1 0.000 0.000 0.000 x2
Li1 0.202 0.298 0.000 x4
Cr1 0.081 0.581 0.500 x4